PrYTlGa | PBE | optimized geometry

Computed properties:
For the density of states at the Fermi level, the calculation gives 0.4819 states/eV per atom. The calculation puts the energy at -18.559 eV for the cell shown. As for the calculated density: 7.87 g cm⁻³. As for the formation energy: -0.4806 eV per atom. The value obtained for the total magnetic moment is 0.00 μB per atom. Its offset from the most stable computed form is 0.000 eV per atom.

abc: 3.7097 3.7097 7.7297
angles: 90.00 90.00 90.00
With the nearest neighbours (Å) after each atom.
Space group P4mm (No. 99)
Unique sites:
Pr1 0.0000 0.0000 0.0000  4 Ga 3.24, 4 Tl 3.40, 1 Y 3.61
Y1 0.0000 0.0000 0.5330  4 Ga 3.13, 4 Tl 3.27
Tl1 0.5000 0.5000 0.2805  4 Y 3.27, 4 Pr 3.40, 1 Ga 3.66
Ga1 0.5000 0.5000 0.7534  4 Y 3.13, 4 Pr 3.24